Entry 1
Below is crystalline VInI2O at its relaxed geometry, with properties calculated at the GGA+U level.

SG ... No. 123

Cell lengths 6.0697, 6.0697, 3.9658 Å; angles 90.00, 90.00, 90.00 degrees
With the nearest neighbours (Å) after each atom.
Positions (direct):
V (0.5000, 0.5000, 0.5000)  8 I 3.63, 2 V 3.97
In (0.0000, 0.0000, 0.0000)  2 O 1.98
I (0.0000, 0.5000, 0.0000)  2 In 3.03
I (0.5000, 0.0000, 0.0000)  2 In 3.03
O (0.0000, 0.0000, 0.5000)  2 In 1.98

Entry 2
Below is crystalline VInI2O at its relaxed geometry, with properties calculated at the GGA+U level.

SG ... No. 123

Cell lengths 5.9614, 5.9614, 3.7769 Å; angles 90.00, 90.00, 90.00 degrees
With the nearest neighbours (Å) after each atom.
Positions (direct):
V (0.0000, 0.0000, 0.0000)  2 O 1.89
I (0.5000, 0.0000, 0.0000)  2 V 2.98
I (0.0000, 0.5000, 0.0000)  2 V 2.98
In (0.5000, 0.5000, 0.5000)  8 I 3.53, 2 In 3.78
O (0.0000, 0.0000, 0.5000)  2 V 1.89

The structure with the most favorable energy is entry 2; the runner-up is 643 meV per atom above it.

Entry 1
Below is crystalline VInIO2 at its relaxed geometry, with properties calculated at the GGA+U level.

SG ... No. 123

Cell lengths 4.0947, 4.0947, 5.5901 Å; angles 90.00, 90.00, 90.00 degrees
With the nearest neighbours (Å) after each atom.
Positions (direct):
O (0.5000, 0.0000, 0.0000)  2 V 2.05
O (0.0000, 0.5000, 0.0000)  2 V 2.05
In (0.5000, 0.5000, 0.5000)  4 I 2.90
V (0.0000, 0.0000, 0.0000)  4 O 2.05
I (0.0000, 0.0000, 0.5000)  2 V 2.80, 4 In 2.90

Entry 2
Below is crystalline VInIO2 at its relaxed geometry, with properties calculated at the GGA+U level.

SG ... No. 123

Cell lengths 4.1628, 4.1628, 6.1013 Å; angles 90.00, 90.00, 90.00 degrees
With the nearest neighbours (Å) after each atom.
Positions (direct):
In (0.0000, 0.0000, 0.0000)  4 O 2.08
O (0.5000, 0.0000, 0.0000)  2 In 2.08
O (0.0000, 0.5000, 0.0000)  2 In 2.08
V (0.5000, 0.5000, 0.5000)  4 I 2.94
I (0.0000, 0.0000, 0.5000)  4 V 2.94, 2 In 3.05

The structure with the most favorable energy is entry 1; the runner-up is 438 meV per atom above it.